A plane-wave DFT calculation with PBE was carried out for a relaxed structure of CrTeS2.

The value obtained for the total energy is -5.64 eV per atom. The volume comes out at 253.8 Å³ per cell. The density of states at the Fermi level comes out at 1.36 states/eV/f.u. Its raw formation energy is -0.386 eV per atom. The calculation puts the spin magnetization at 3.05 μB/f.u.

It has space group R-3m (No. 166, hexagonal axes), with a = 3.5303 Å, b = 3.5303 Å, c = 23.5126 Å, α = 90.00°, β = 90.00° and γ = 120.00°. Symmetry generates all atoms from Cr at (0.0000, 0.0000, 0.0000), Te at (0.0000, 0.0000, 0.5000) and S at (0.0000, 0.0000, 0.3870).